# 1
A plane-wave DFT calculation with PBE was carried out for CsTe8Ir5 after structural relaxation.

Lattice parameters (Å, degrees): 20.920 4.084 9.251 90.00 104.85 90.00
Space group C2/m (No. 12)
Symmetry-distinct sites (fractional):
Cs: 0.000 0.000 0.000 (multiplicity 2)
Te: 0.072 0.000 0.649 (multiplicity 4)
Te: 0.092 0.500 0.345 (multiplicity 4)
Te: 0.180 0.500 0.977 (multiplicity 4)
Te: 0.241 0.500 0.651 (multiplicity 4)
Ir: 0.000 0.500 0.500 (multiplicity 2)
Ir: 0.161 0.000 0.489 (multiplicity 4)
Ir: 0.207 0.000 0.814 (multiplicity 4)

crystal system: monoclinic
uncorrected formation energy: -0.2789 eV per atom

---

# 2
A plane-wave DFT calculation with PBE was carried out for Cs2TeIr2 after structural relaxation.

Lattice parameters (Å, degrees): 3.608 3.608 24.237 90.00 90.00 90.00
Space group I4/mmm (No. 139)
Symmetry-distinct sites (fractional):
Cs: 0.000 0.000 0.119 (multiplicity 4)
Te: 0.000 0.000 0.500 (multiplicity 2)
Ir: 0.000 0.500 0.250 (multiplicity 4)

energy above the lowest structure with this stoichiometry: 0 meV per atom
crystal system: tetragonal
uncorrected formation energy: 0.2001 eV per atom

---

# 3
A plane-wave DFT calculation with PBE was carried out for CsTe2Ir after structural relaxation.

Lattice parameters (Å, degrees): 8.349 8.349 8.393 90.00 90.00 90.00
Space group I-42d (No. 122)
Symmetry-distinct sites (fractional):
Cs: 0.000 0.000 0.000 (multiplicity 4)
Te: 0.130 0.250 0.625 (multiplicity 8)
Ir: 0.000 0.000 0.500 (multiplicity 4)

crystal system: tetragonal
uncorrected formation energy: -0.3466 eV per atom

---

# 4
A plane-wave DFT calculation with PBE was carried out for CsTeIr3 after structural relaxation.

Lattice parameters (Å, degrees): 5.044 5.044 5.044 90.00 90.00 90.00
Space group Pm-3m (No. 221)
Symmetry-distinct sites (fractional):
Cs: 0.000 0.000 0.000 (multiplicity 1)
Te: 0.500 0.500 0.500 (multiplicity 1)
Ir: 0.000 0.500 0.500 (multiplicity 3)

crystal system: cubic
uncorrected formation energy: 1.4060 eV per atom

---

# 5
A plane-wave DFT calculation with PBE was carried out for CsTe3Ir after structural relaxation.

Lattice parameters (Å, degrees): 5.462 5.462 5.462 90.00 90.00 90.00
Space group Pm-3m (No. 221)
Symmetry-distinct sites (fractional):
Cs: 0.000 0.000 0.000 (multiplicity 1)
Te: 0.000 0.500 0.500 (multiplicity 3)
Ir: 0.500 0.500 0.500 (multiplicity 1)

crystal system: cubic
uncorrected formation energy: -0.0015 eV per atom

---

# 6
A plane-wave DFT calculation with PBE was carried out for CsTeIr after structural relaxation.

Lattice parameters (Å, degrees): 4.432 5.322 9.144 90.00 99.99 90.00
Space group P2_1 (No. 4)
Symmetry-distinct sites (fractional):
Cs: 0.202 0.000 0.328 (multiplicity 2)
Te: 0.376 0.030 0.868 (multiplicity 2)
Ir: 0.092 0.334 0.021 (multiplicity 2)

energy above the lowest structure with this stoichiometry: 52 meV per atom
crystal system: monoclinic
uncorrected formation energy: -0.1486 eV per atom

---

# 7
A plane-wave DFT calculation with PBE was carried out for CsTe2Ir after structural relaxation.

Lattice parameters (Å, degrees): 4.1560 4.1560 29.5686 90.00 90.00 120.00
Space group R-3m (No. 166, hexagonal axes)
Symmetry-distinct sites (fractional):
Cs: 0.0000 0.0000 0.0000 (multiplicity 3)
Te: 0.0000 0.0000 0.1237 (multiplicity 6)
Ir: 0.0000 0.0000 0.5000 (multiplicity 3)

crystal system: trigonal
uncorrected formation energy: -0.2597 eV per atom

---

# 8
A plane-wave DFT calculation with PBE was carried out for CsTeIr after structural relaxation.

Lattice parameters (Å, degrees): 4.000 7.134 7.603 88.33 75.01 73.74
Space group P1 (No. 1)
Symmetry-distinct sites (fractional):
Cs: 0.000 0.000 0.000 (multiplicity 1)
Cs: 0.423 0.467 0.702 (multiplicity 1)
Te: 0.124 0.500 0.252 (multiplicity 1)
Te: 0.767 0.957 0.513 (multiplicity 1)
Ir: 0.234 0.153 0.381 (multiplicity 1)
Ir: 0.451 0.752 0.348 (multiplicity 1)

energy above the lowest structure with this stoichiometry: 54 meV per atom
crystal system: triclinic
uncorrected formation energy: -0.1461 eV per atom